Below is a relaxed structure of Tm4SnHg2, with properties calculated at the GGA-PBE level.

## Properties
DOS at the Fermi energy = 12.953 states/eV per cell
Final energy = -3.46 eV/atom

```
data_Tm4SnHg2
_cell_length_a 4.9416
_cell_length_b 4.9416
_cell_length_c 29.0142
_cell_angle_alpha 90.00
_cell_angle_beta 90.00
_cell_angle_gamma 120.00
_symmetry_space_group_name_H-M 'R -3 m'
_symmetry_Int_Tables_number 166
_symmetry_space_group_name_Hall '-R 3 2"'
loop_
_atom_site_label
_atom_site_fract_x
_atom_site_fract_y
_atom_site_fract_z
_atom_site_occupancy
Tm1 0.0000 0.0000 0.1196 1
Tm2 0.0000 0.0000 0.2973 1
Sn1 0.0000 0.0000 0.5000 1
Hg1 0.0000 0.0000 0.3983 1
```


Below is a relaxed structure of Tm2SnHg9, with properties calculated at the GGA-PBE level.

## Properties
DOS at the Fermi energy = 7.297 states/eV per cell
Final energy = -1.48 eV/atom

```
data_Tm2SnHg9
_cell_length_a 4.5380
_cell_length_b 4.5380
_cell_length_c 14.2716
_cell_angle_alpha 90.00
_cell_angle_beta 90.00
_cell_angle_gamma 90.00
_symmetry_space_group_name_H-M 'P 4/m m m'
_symmetry_Int_Tables_number 123
_symmetry_space_group_name_Hall '-P 4 2'
loop_
_atom_site_label
_atom_site_fract_x
_atom_site_fract_y
_atom_site_fract_z
_atom_site_occupancy
Tm1 0.0000 0.0000 0.1707 1
Sn1 0.0000 0.0000 0.5000 1
Hg1 0.0000 0.5000 0.0000 1
Hg2 0.0000 0.5000 0.3259 1
Hg3 0.5000 0.5000 0.1574 1
Hg4 0.5000 0.5000 0.5000 1
```


Below is a relaxed structure of Tm4Sn2Hg, with properties calculated at the GGA-PBE level.

## Properties
DOS at the Fermi energy = 13.055 states/eV per cell
Final energy = -4.21 eV/atom

```
data_Tm4Sn2Hg
_cell_length_a 11.2461
_cell_length_b 4.7044
_cell_length_c 8.6899
_cell_angle_alpha 90.00
_cell_angle_beta 122.48
_cell_angle_gamma 90.00
_symmetry_space_group_name_H-M 'C 1 2/m 1'
_symmetry_Int_Tables_number 12
_symmetry_space_group_name_Hall '-C 2y'
loop_
_atom_site_label
_atom_site_fract_x
_atom_site_fract_y
_atom_site_fract_z
_atom_site_occupancy
Tm1 0.0854 0.0000 0.3853 1
Tm2 0.1816 0.5000 0.0707 1
Sn1 0.1495 0.5000 0.6652 1
Hg1 0.0000 0.0000 0.0000 1
```


Below is a relaxed structure of Tm4SnHg, with properties calculated at the GGA-PBE level.

## Properties
DOS at the Fermi energy = 12.578 states/eV per cell
Final energy = -3.83 eV/atom

```
data_Tm4SnHg
_cell_length_a 7.1630
_cell_length_b 7.2659
_cell_length_c 7.2562
_cell_angle_alpha 90.00
_cell_angle_beta 90.72
_cell_angle_gamma 90.00
_symmetry_space_group_name_H-M 'P 1 21/c 1'
_symmetry_Int_Tables_number 14
_symmetry_space_group_name_Hall '-P 2ybc'
loop_
_atom_site_label
_atom_site_fract_x
_atom_site_fract_y
_atom_site_fract_z
_atom_site_occupancy
Tm1 0.1591 0.1696 0.1734 1
Tm2 0.3369 0.6577 0.1540 1
Sn1 0.5000 0.0000 0.0000 1
Hg1 0.0000 0.0000 0.5000 1
```